! HfInHPd2 (GGA-PBE, relaxed); values from VASP
! Space-group type   P4/mmm, No. 123
! Total magnetization   0.0 μB per formula unit
! DFT total energy   -5.629 eV per atom
&SYSTEM
  ibrav = 0, nat = 5, ntyp = 4
/
ATOMIC_SPECIES
In 114.82 In.upf
Pd 106.42 Pd.upf
Hf 178.49 Hf.upf
H 1.01 H.upf
CELL_PARAMETERS angstrom
-1.6868 2.3179 -3.4624
-3.1531 -3.1519 -0.5739
-2.2759 1.8495 2.3469
ATOMIC_POSITIONS angstrom
In -3.5579 0.5077 -0.8447
Pd -1.5766 -1.5760 -0.2869
Pd -0.8434 1.1589 -1.7312
Hf -1.1380 0.9247 1.1734
H 0.0000 0.0000 0.0000

***

! TaRe2Tc (GGA-PBE, relaxed); values from VASP
! ΔE to the lowest computed polymorph   19 meV per atom
! Formation enthalpy at 0 K   -0.207 eV per formula unit
! Space-group type   P4mm, No. 99
! Total magnetization   0.0 μB per formula unit
&SYSTEM
  ibrav = 0, nat = 4, ntyp = 3
/
ATOMIC_SPECIES
Re 186.21 Re.upf
Ta 180.95 Ta.upf
Tc 98.00 Tc.upf
CELL_PARAMETERS angstrom
3.1350 0.0000 0.0000
0.0000 3.1350 0.0000
0.0000 0.0000 6.3745
ATOMIC_POSITIONS angstrom
Re 1.5675 1.5675 1.5703
Re 0.0000 0.0000 0.0390
Ta 0.0000 0.0000 3.2216
Tc 1.5675 1.5675 4.7309

***

! PuScPa (GGA-PBE, relaxed); values from VASP
! ΔE to the lowest computed polymorph   98 meV per atom
! Formation enthalpy at 0 K   0.420 eV per formula unit
! Space-group type   P-6m2, No. 187
! Total magnetization   5.4 μB per formula unit
&SYSTEM
  ibrav = 0, nat = 3, ntyp = 3
/
ATOMIC_SPECIES
Sc 44.96 Sc.upf
Pu 244.00 Pu.upf
Pa 231.04 Pa.upf
CELL_PARAMETERS angstrom
-2.2411 2.1966 -0.4397
-3.2358 -3.6189 -1.5866
0.2305 1.2265 4.9525
ATOMIC_POSITIONS angstrom
Sc -3.5746 -0.5393 0.2999
Pu -0.3732 0.3658 -0.0732
Pa -1.2986 -0.0224 2.6995

***

! LiBeV2P (GGA-PBE, relaxed); values from VASP
! Formation enthalpy at 0 K   1.980 eV per formula unit
! Space-group type   P4/mmm, No. 123
! Total magnetization   1.3 μB per formula unit
&SYSTEM
  ibrav = 0, nat = 5, ntyp = 4
/
ATOMIC_SPECIES
V 50.94 V.upf
P 30.97 P.upf
Li 6.94 Li.upf
Be 9.01 Be.upf
CELL_PARAMETERS angstrom
4.3962 0.0000 0.0000
0.0000 3.9995 0.0000
0.0000 0.0000 4.3962
ATOMIC_POSITIONS angstrom
V 2.1981 0.0000 0.0000
V 0.0000 0.0000 2.1981
P 0.0000 0.0000 0.0000
Li 2.1981 1.9997 2.1981
Be 0.0000 1.9997 0.0000

***

! Nd2Sb7Rh12 (GGA-PBE, relaxed); values from VASP
! Space-group type   P-3, No. 147
! Total magnetization   0.0 μB per formula unit
! ΔE_f (raw)   -588 meV per atom
&SYSTEM
  ibrav = 0, nat = 21, ntyp = 3
/
ATOMIC_SPECIES
Rh 102.91 Rh.upf
Sb 121.76 Sb.upf
Nd 144.24 Nd.upf
CELL_PARAMETERS angstrom
4.1134 0.0000 0.0000
0.0000 9.1227 -5.2670
0.0000 0.0000 10.5340
ATOMIC_POSITIONS angstrom
Rh 1.0253 5.6615 -2.6091
Rh 3.0881 5.0903 3.5984
Rh 1.0016 1.0883 2.1513
Rh 3.1117 7.8037 -3.2488
Rh 3.1117 2.4073 0.1331
Rh 3.1117 8.0343 3.1156
Rh 1.0016 6.7154 5.1338
Rh 3.0881 3.4612 7.8761
Rh 1.0253 8.5515 0.9406
Rh 3.0881 0.5712 4.3264
Rh 1.0253 4.0324 1.6685
Rh 1.0016 1.3189 8.5157
Sb 3.0711 2.6488 2.7189
Sb 1.0423 6.4738 2.5481
Sb 3.0711 5.4437 6.2015
Sb 3.0711 1.0302 6.8806
Sb 1.0423 3.6790 -0.9345
Sb 2.0567 0.0000 0.0000
Sb 1.0423 8.0925 -1.6136
Nd 1.0090 3.0409 5.2670
Nd 3.1044 6.0818 0.0000

***

! K5Na2Au5 (GGA-PBE, relaxed); values from VASP
! Formation enthalpy at 0 K   -3.094 eV per formula unit
! Space-group type   R-3m, No. 166
! Total magnetization   0.0 μB per formula unit
&SYSTEM
  ibrav = 0, nat = 12, ntyp = 3
/
ATOMIC_SPECIES
Au 196.97 Au.upf
K 39.10 K.upf
Na 22.99 Na.upf
CELL_PARAMETERS angstrom
5.4304 -0.0003 0.9998
2.6232 4.7548 0.9998
0.1022 0.0603 14.6838
ATOMIC_POSITIONS angstrom
Au 0.0000 0.0000 0.0000
Au 4.8693 2.8746 4.0503
Au 6.9590 4.1083 7.9427
Au 1.1967 0.7065 8.7407
Au 3.2865 1.9402 12.6330
K 4.0779 2.4074 8.3417
K 6.3453 3.7460 11.2718
K 1.8104 1.0688 5.4116
K 5.6448 3.3325 15.0715
K 2.5110 1.4824 1.6119
Na 0.6443 0.3804 11.7374
Na 7.5114 4.4344 4.9460

***

! NpV2Si (GGA-PBE, relaxed); values from VASP
! ΔE to the lowest computed polymorph   103 meV per atom
! Space-group type   P4/mmm, No. 123
! Total magnetization   3.6 μB per formula unit
! ΔE_f (raw)   26 meV per atom
&SYSTEM
  ibrav = 0, nat = 4, ntyp = 3
/
ATOMIC_SPECIES
V 50.94 V.upf
Si 28.09 Si.upf
Np 237.00 Np.upf
CELL_PARAMETERS angstrom
3.2073 0.0000 0.0000
0.0000 3.2073 0.0000
0.0000 0.0000 6.1676
ATOMIC_POSITIONS angstrom
V 0.0000 0.0000 4.2841
V 0.0000 0.0000 1.8835
Si 1.6036 1.6036 3.0838
Np 1.6036 1.6036 0.0000

***

! RbNa2NbSb (GGA-PBE, relaxed); values from VASP
! Space-group type   P4/mmm, No. 123
! Total magnetization   3.1 μB per formula unit
! ΔE_f (raw)   414 meV per atom
&SYSTEM
  ibrav = 0, nat = 5, ntyp = 4
/
ATOMIC_SPECIES
Sb 121.76 Sb.upf
Na 22.99 Na.upf
Rb 85.47 Rb.upf
Nb 92.91 Nb.upf
CELL_PARAMETERS angstrom
6.0948 0.0000 0.0000
0.0000 5.4322 0.0000
0.0000 0.0000 6.0948
ATOMIC_POSITIONS angstrom
Sb 0.0000 2.7161 0.0000
Na 3.0474 0.0000 0.0000
Na 0.0000 0.0000 3.0474
Rb 3.0474 2.7161 3.0474
Nb 0.0000 0.0000 0.0000